Record 1
Compound: HgBr
Source: Alexandria
Functional: PBE
Structure: relaxed

a b c (Å): 6.950 6.950 9.190
angles (deg): 52.57 52.57 33.64
Element x y z (fractional)
Hg: 0.890 0.890 0.481
Hg: 0.218 0.218 0.501
Hg: 0.040 0.040 0.056
Br: 0.726 0.726 0.926
Br: 0.555 0.555 0.493
Br: 0.403 0.403 0.042

Distance to the lowest polymorph of the same formula (eV/f.u.): 0.34
E (eV/atom): -1.223
Magnetization (μB per cell): 0.0

***

Record 2
Compound: Hg3Br
Source: Alexandria
Functional: PBE
Structure: relaxed

a b c (Å): 11.479 11.479 11.479
angles (deg): 16.86 16.86 16.86
Element x y z (fractional)
Br: 0.000 0.000 0.000
Hg: 0.749 0.749 0.749
Hg: 0.251 0.251 0.251
Hg: 0.500 0.500 0.500

Distance to the lowest polymorph of the same formula (eV/f.u.): 0.91
E (eV/atom): -0.566
Magnetization (μB per cell): 0.0

***

Q: Number 1 is which compound?
A: HgBr